Record 1
First-principles (PBE-GGA) data for an optimized crystal structure of Sc3Cd2Tc2, as listed in Alexandria.

POSCAR file:
```
Sc3Cd2Tc2
1.0
-3.511 0.836 -2.017
-1.683 -1.087 2.480
-1.852 10.243 3.233
Sc Tc Cd
3 2 2
direct
0.000 0.000 0.000
0.840 0.000 0.319
0.160 0.000 0.681
0.278 0.500 0.445
0.722 0.500 0.555
0.579 0.500 0.843
0.421 0.500 0.157
```

Calculated volume (Å³ per atom): 20.15
Mass density (g/cm³): 6.5

Record 2
First-principles (PBE-GGA) data for an optimized crystal structure of ScCd3Tc, as listed in Alexandria.

POSCAR file:
```
ScCd3Tc
1.0
-3.094 0.847 -4.311
-2.706 -4.522 1.053
-3.462 2.777 3.030
Cd Tc Sc
3 1 1
direct
0.000 0.000 0.500
0.000 0.500 0.000
0.500 0.000 0.000
0.500 0.500 0.500
0.000 0.000 0.000
```

Polymorph energy (0 for the lowest one) (meV per atom): 694
Calculated volume (Å³ per atom): 31.04
Mass density (g/cm³): 5.1

Record 3
First-principles (PBE-GGA) data for an optimized crystal structure of ScCdTc2, as listed in Alexandria.

POSCAR file:
```
ScCdTc2
1.0
-4.986 -0.291 -1.592
3.379 -2.231 -3.330
-0.278 -2.366 1.303
Cd Tc Sc
1 2 1
direct
0.500 0.000 0.500
0.500 0.500 0.000
0.000 0.000 0.000
0.000 0.500 0.500
```

Calculated volume (Å³ per atom): 17.13
Mass density (g/cm³): 8.6

Energy of formation values (in eV/atom) by entry order: -0.1226 1.4512 0.3040.